Density functional theory data (GGA-PBE) for a geometry-optimized Co2TcHN structure.

Computed properties:
E = -32.988 eV/cell
crystal system = tetragonal
space group = P4/mmm, No. 123

Unit cell a=4.2263 b=2.6011 c=4.2263 alpha=90.00 beta=90.00 gamma=90.00
With the nearest neighbours (Å) after each atom.
Positions (direct):
Co 0.0000 0.0000 0.5000  2 N 2.11
Co 0.5000 0.0000 0.0000  2 N 2.11
N 0.0000 0.0000 0.0000  2 H 1.30
H 0.0000 0.5000 0.0000  2 N 1.30
Tc 0.5000 0.5000 0.5000  8 Co 2.48, 2 Tc 2.60

***

Density functional theory data (GGA-PBE) for a geometry-optimized CoTe2HN structure.

Computed properties:
crystal system = tetragonal
energy above the most stable polymorph in this dataset = 0.00 kJ/mol of atoms
space group = P4/mmm, No. 123

Unit cell a=5.2702 b=5.2702 c=3.3341 alpha=90.00 beta=90.00 gamma=90.00
With the nearest neighbours (Å) after each atom.
Positions (direct):
H 0.5000 0.5000 0.5000  8 Te 3.12, 2 H 3.33
N 0.0000 0.0000 0.5000  2 Co 1.67
Co 0.0000 0.0000 0.0000  2 N 1.67
Te 0.5000 0.0000 0.0000  2 Co 2.64
Te 0.0000 0.5000 0.0000  2 Co 2.64

***

Density functional theory data (GGA-PBE) for a geometry-optimized CoTe2HN structure.

Computed properties:
crystal system = tetragonal
energy above the most stable polymorph in this dataset = 32.77 kJ/mol of atoms
space group = P4/mmm, No. 123

Unit cell a=4.9769 b=4.9769 c=2.8538 alpha=90.00 beta=90.00 gamma=90.00
With the nearest neighbours (Å) after each atom.
Positions (direct):
Co 0.5000 0.5000 0.5000  2 Co 2.85, 8 Te 2.87
N 0.0000 0.0000 0.5000  2 H 1.43
H 0.0000 0.0000 0.0000  2 N 1.43
Te 0.5000 0.0000 0.0000  2 H 2.49
Te 0.0000 0.5000 0.0000  2 H 2.49